Record 1
# PBE PmAgAsO, relaxed
# Crystal system   tetragonal
# VASP energy   -5.89 eV per atom
# Symmetry   P4/nmm, No. 129
data_PmAgAsO
_chemical_formula_sum 'Pm2 Ag2 As2 O2'
_symmetry_space_group_name_H-M 'P 1'
_symmetry_Int_Tables_number 1
_cell_length_a 4.070
_cell_length_b 4.070
_cell_length_c 9.170
_cell_angle_alpha 90.00
_cell_angle_beta 90.00
_cell_angle_gamma 90.00
loop_
_symmetry_equiv_pos_as_xyz
'x,y,z'
loop_
_atom_site_label
_atom_site_type_symbol
_atom_site_fract_x
_atom_site_fract_y
_atom_site_fract_z
Pm1 Pm 0.000 0.500 0.124
Pm2 Pm 0.500 0.000 0.876
O1 O 0.000 0.000 0.000
O2 O 0.500 0.500 0.000
Ag1 Ag 0.500 0.500 0.500
Ag2 Ag 0.000 0.000 0.500
As1 As 0.500 0.000 0.309
As2 As 0.000 0.500 0.691

Record 2
# PBE ZnSnO3, relaxed
# Crystal system   orthorhombic
# VASP energy   -5.50 eV per atom
# Symmetry   Pnma, No. 62
data_ZnSnO3
_chemical_formula_sum 'Zn4 Sn4 O12'
_symmetry_space_group_name_H-M 'P 1'
_symmetry_Int_Tables_number 1
_cell_length_a 5.353
_cell_length_b 7.867
_cell_length_c 5.343
_cell_angle_alpha 90.00
_cell_angle_beta 90.00
_cell_angle_gamma 90.00
loop_
_symmetry_equiv_pos_as_xyz
'x,y,z'
loop_
_atom_site_label
_atom_site_type_symbol
_atom_site_fract_x
_atom_site_fract_y
_atom_site_fract_z
O1 O 0.328 0.070 0.668
O2 O 0.906 0.250 0.374
O3 O 0.172 0.930 0.168
O4 O 0.406 0.250 0.126
O5 O 0.094 0.750 0.626
O6 O 0.828 0.070 0.832
O7 O 0.594 0.750 0.874
O8 O 0.672 0.570 0.332
O9 O 0.328 0.430 0.668
O10 O 0.672 0.930 0.332
O11 O 0.828 0.430 0.832
O12 O 0.172 0.570 0.168
Zn1 Zn 0.970 0.750 0.992
Zn2 Zn 0.030 0.250 0.008
Zn3 Zn 0.530 0.250 0.492
Zn4 Zn 0.470 0.750 0.508
Sn1 Sn 0.000 0.500 0.500
Sn2 Sn 0.000 0.000 0.500
Sn3 Sn 0.500 0.000 0.000
Sn4 Sn 0.500 0.500 0.000

Record 3
# PBE Ta16Re13, relaxed
# Crystal system   cubic
# VASP energy   -12.08 eV per atom
# Symmetry   I-43m, No. 217
data_Ta16Re13
_chemical_formula_sum 'Ta16 Re13'
_symmetry_space_group_name_H-M 'P 1'
_symmetry_Int_Tables_number 1
_cell_length_a 8.617
_cell_length_b 8.617
_cell_length_c 8.617
_cell_angle_alpha 109.47
_cell_angle_beta 109.47
_cell_angle_gamma 109.47
loop_
_symmetry_equiv_pos_as_xyz
'x,y,z'
loop_
_atom_site_label
_atom_site_type_symbol
_atom_site_fract_x
_atom_site_fract_y
_atom_site_fract_z
Ta1 Ta 0.000 0.196 0.387
Ta2 Ta 0.804 0.804 0.191
Ta3 Ta 0.371 0.371 0.371
Ta4 Ta 0.196 0.387 0.000
Ta5 Ta 0.387 0.000 0.196
Ta6 Ta 0.000 0.387 0.196
Ta7 Ta 0.000 0.629 0.000
Ta8 Ta 0.000 0.000 0.629
Ta9 Ta 0.804 0.191 0.804
Ta10 Ta 0.191 0.804 0.804
Ta11 Ta 0.809 0.613 0.613
Ta12 Ta 0.613 0.809 0.613
Ta13 Ta 0.196 0.000 0.387
Ta14 Ta 0.629 0.000 0.000
Ta15 Ta 0.613 0.613 0.809
Ta16 Ta 0.387 0.196 0.000
Re1 Re 0.000 0.000 0.000
Re2 Re 0.686 0.405 0.000
Re3 Re 0.595 0.281 0.595
Re4 Re 0.281 0.595 0.595
Re5 Re 0.405 0.000 0.686
Re6 Re 0.595 0.595 0.281
Re7 Re 0.314 0.719 0.314
Re8 Re 0.000 0.405 0.686
Re9 Re 0.314 0.314 0.719
Re10 Re 0.405 0.686 0.000
Re11 Re 0.000 0.686 0.405
Re12 Re 0.686 0.000 0.405
Re13 Re 0.719 0.314 0.314

Record 4
# PBE Li4TePdO6, relaxed
# Crystal system   monoclinic
# VASP energy   -5.26 eV per atom
# Symmetry   C2, No. 5
data_Li4TePdO6
_chemical_formula_sum 'Li4 Te1 Pd1 O6'
_symmetry_space_group_name_H-M 'P 1'
_symmetry_Int_Tables_number 1
_cell_length_a 5.216
_cell_length_b 5.216
_cell_length_c 5.355
_cell_angle_alpha 104.02
_cell_angle_beta 104.02
_cell_angle_gamma 114.65
loop_
_symmetry_equiv_pos_as_xyz
'x,y,z'
loop_
_atom_site_label
_atom_site_type_symbol
_atom_site_fract_x
_atom_site_fract_y
_atom_site_fract_z
O1 O 0.215 0.238 0.242
O2 O 0.471 0.117 0.725
O3 O 0.610 0.938 0.201
O4 O 0.062 0.390 0.799
O5 O 0.883 0.529 0.275
O6 O 0.762 0.785 0.758
Li1 Li 0.499 0.501 0.000
Li2 Li 0.014 0.986 0.500
Li3 Li 0.328 0.672 0.500
Li4 Li 0.667 0.333 0.500
Te1 Te 0.824 0.176 0.000
Pd1 Pd 0.166 0.834 0.000

Record 5
# PBE Pr2Zr2O5, relaxed
# Crystal system   tetragonal
# VASP energy   -8.20 eV per atom
# Symmetry   P4/mmm, No. 123
data_Pr2Zr2O5
_chemical_formula_sum 'Pr2 Zr2 O5'
_symmetry_space_group_name_H-M 'P 1'
_symmetry_Int_Tables_number 1
_cell_length_a 10.481
_cell_length_b 3.674
_cell_length_c 3.674
_cell_angle_alpha 90.00
_cell_angle_beta 90.00
_cell_angle_gamma 90.00
loop_
_symmetry_equiv_pos_as_xyz
'x,y,z'
loop_
_atom_site_label
_atom_site_type_symbol
_atom_site_fract_x
_atom_site_fract_y
_atom_site_fract_z
O1 O 0.879 0.000 0.500
O2 O 0.879 0.500 0.000
O3 O 0.121 0.000 0.500
O4 O 0.121 0.500 0.000
O5 O 0.500 0.500 0.500
Pr1 Pr 0.750 0.500 0.500
Pr2 Pr 0.250 0.500 0.500
Zr1 Zr 0.500 0.000 0.000
Zr2 Zr 0.000 0.000 0.000

Record 6
# PBE Zr2Bi, relaxed
# Crystal system   monoclinic
# VASP energy   -7.14 eV per atom
# Symmetry   P2_1/m, No. 11
data_Zr2Bi
_chemical_formula_sum 'Zr16 Bi8'
_symmetry_space_group_name_H-M 'P 1'
_symmetry_Int_Tables_number 1
_cell_length_a 14.184
_cell_length_b 8.497
_cell_length_c 5.411
_cell_angle_alpha 90.00
_cell_angle_beta 90.00
_cell_angle_gamma 64.10
loop_
_symmetry_equiv_pos_as_xyz
'x,y,z'
loop_
_atom_site_label
_atom_site_type_symbol
_atom_site_fract_x
_atom_site_fract_y
_atom_site_fract_z
Zr1 Zr 0.077 0.598 0.000
Zr2 Zr 0.118 0.763 0.500
Zr3 Zr 0.662 0.650 0.000
Zr4 Zr 0.936 0.603 0.500
Zr5 Zr 0.025 0.186 0.500
Zr6 Zr 0.284 0.983 0.500
Zr7 Zr 0.533 0.711 0.500
Zr8 Zr 0.169 0.175 0.000
Zr9 Zr 0.608 0.281 0.500
Zr10 Zr 0.415 0.931 0.000
Zr11 Zr 0.910 0.379 0.000
Zr12 Zr 0.586 0.080 0.000
Zr13 Zr 0.496 0.502 0.000
Zr14 Zr 0.779 0.430 0.500
Zr15 Zr 0.258 0.758 0.000
Zr16 Zr 0.699 0.859 0.500
Bi1 Bi 0.329 0.344 0.000
Bi2 Bi 0.028 0.980 0.000
Bi3 Bi 0.365 0.575 0.500
Bi4 Bi 0.464 0.101 0.500
Bi5 Bi 0.166 0.381 0.500
Bi6 Bi 0.866 0.017 0.500
Bi7 Bi 0.830 0.786 0.000
Bi8 Bi 0.731 0.260 0.000

- Number 3 is which compound?
  Ta16Re13

- What is the VASP energy in the first record?
  -5.89 eV per atom

- What is the VASP energy in the third record?
  -12.08 eV per atom